Entry 1:
A geometry-optimized RhBr4N2 structure, computed with PBE.

```
RhBr4N2
1.0
-0.944 2.823 2.227
4.291 -3.756 5.225
6.569 1.352 -1.276
Br Rh N
4 1 2
Cartesian
4.945 -2.037 3.374
1.081 1.384 1.816
4.972 2.456 2.803
8.836 -0.964 4.361
0.000 0.000 0.000
4.568 0.165 1.538
5.348 0.254 4.639
```

Calculated values
As for the formation energy (no corrections): 0.9358 eV per atom. As for the symmetry: P-1 (2). Its density of states at the Fermi level is 2.2 states/eV per cell. As for the calculated volume: 26.1 A^3/atom.

Entry 2:
A geometry-optimized RhBr3N structure, computed with PBE.

```
RhBr3N
1.0
-6.186 -3.143 2.652
-0.853 -4.878 -7.770
4.892 -4.205 6.426
Br Rh N
12 4 4
Cartesian
1.230 -7.647 -0.776
-4.765 -7.733 0.392
-3.378 -4.579 2.083
-0.661 -3.040 -0.158
1.121 -5.866 6.199
-0.383 -6.052 2.202
-3.268 -6.361 -4.891
2.618 -4.493 0.915
-1.486 -9.186 1.465
-0.242 -4.858 -6.187
-1.905 -7.368 7.495
-1.764 -6.174 -0.895
-2.615 -6.899 1.329
3.340 -4.991 7.076
-5.487 -7.235 -5.769
0.468 -5.328 -0.022
0.836 -2.936 3.670
-5.002 -4.748 -1.691
-2.983 -9.290 -2.363
2.855 -7.478 2.998
```

Calculated values
Its distance to the lowest polymorph of the same formula is 0.000 eV/atom. As for the formation energy (no corrections): 0.8115 eV per atom. As for the symmetry: P2_1/c (14). Its density of states at the Fermi level is 8.0 states/eV per cell. As for the calculated volume: 28.6 A^3/atom.

Entry 3:
A geometry-optimized Rh2BrN structure, computed with PBE.

```
Rh2BrN
1.0
5.066 0.000 0.000
0.000 5.066 0.000
2.533 2.533 5.402
Br N Rh
2 2 4
Cartesian
0.000 0.000 0.000
5.066 2.533 2.701
2.533 2.533 0.000
2.533 5.066 2.701
3.799 4.398 4.051
6.332 5.733 4.051
1.866 3.799 1.350
3.200 1.266 1.350
```

Calculated values
Its distance to the lowest polymorph of the same formula is 0.000 eV/atom. As for the formation energy (no corrections): 0.3787 eV per atom. As for the symmetry: I-42d (122). Its density of states at the Fermi level is 0.3 states/eV per cell. As for the calculated volume: 17.3 A^3/atom.

Entry 4:
A geometry-optimized RhSe2BrN structure, computed with PBE.

```
RhSe2BrN
1.0
-0.791 -1.456 4.142
3.012 -3.242 -0.564
3.103 2.620 1.514
Rh N Se Br
1 1 2 1
Cartesian
2.662 -1.039 2.546
0.000 0.000 0.000
1.506 -1.621 -0.282
-0.396 -0.728 2.071
1.552 1.310 0.757
```

Calculated values
Its distance to the lowest polymorph of the same formula is 0.614 eV/atom. As for the formation energy (no corrections): 1.2379 eV per atom. As for the symmetry: P4/mmm (123). Its density of states at the Fermi level is 6.4 states/eV per cell. As for the calculated volume: 17.2 A^3/atom.

Which value of formation energy (no corrections) does entry 4 give?
1.2379 eV per atom